# 1
Compound: Pr6MgNi3
Source: the Alexandria database
Functional: PBE
Structure: optimized geometry

Properties
- Energy of formation: -1.369 eV/f.u.
- Magnetization: 0.000 Bohr magnetons per cell

abc: 11.4140 13.4057 7.1553
angles: 90.00 90.00 90.00
Last column: nearest neighbours and their distance in Å.
Space group Cmc2_1 (No. 36)
Unique sites:
Pr  0.0000  0.0389  0.0000 [4 per cell]  4 Ni 3.06-3.19
Pr  0.0000  0.2284  0.6437 [4 per cell]  3 Ni 2.68-2.76
Pr  0.1632  0.4658  0.4627 [8 per cell]  4 Ni 2.79-2.92
Pr  0.2246  0.2000  0.3095 [8 per cell]  2 Ni 3.04-3.07
Mg  0.0000  0.3292  0.1020 [4 per cell]  1 Ni 2.71
Ni  0.0000  0.4180  0.7622 [4 per cell]  5 Pr 2.68-2.91, 1 Mg 2.71
Ni  0.1836  0.0958  0.6815 [8 per cell]  6 Pr 2.76-3.07

# 2
Compound: YLuZr
Source: the Alexandria database
Functional: PBE
Structure: optimized geometry

Properties
- Energy of formation: 0.213 eV/f.u.
- ΔE to the lowest computed polymorph: 0 meV/atom
- Magnetization: 0.001 Bohr magnetons per cell

abc: 3.3923 3.3923 14.5601
angles: 90.00 90.00 90.00
Last column: nearest neighbours and their distance in Å.
Space group I4mm (No. 107)
Unique sites:
Y  0.0000  0.0000  0.0000 [2 per cell]  4 Zr 3.34, 4 Y 3.39, 4 Lu 3.64
Lu  0.0000  0.0000  0.6879 [2 per cell]  4 Zr 3.27, 4 Lu 3.39, 4 Y 3.64
Zr  0.0000  0.0000  0.3402 [2 per cell]  4 Lu 3.27, 4 Y 3.34, 4 Zr 3.39

# 3
Compound: ZnIn2Ga
Source: the Alexandria database
Functional: PBE
Structure: optimized geometry

Properties
- Energy of formation: 0.347 eV/f.u.
- Magnetization: 0.000 Bohr magnetons per cell

abc: 4.5118 4.5118 4.3883
angles: 90.00 90.00 90.00
Last column: nearest neighbours and their distance in Å.
Space group P4/mmm (No. 123)
Unique sites:
Zn  0.0000  0.0000  0.0000 [1 per cell]  8 In 3.15, 4 Ga 3.19
In  0.0000  0.5000  0.5000 [2 per cell]  4 Zn 3.15, 4 Ga 3.15, 4 In 3.19
Ga  0.5000  0.5000  0.0000 [1 per cell]  8 In 3.15, 4 Zn 3.19

# 4
Compound: ZrAsSe2Br
Source: the Alexandria database
Functional: PBE
Structure: optimized geometry

Properties
- Formation energy without anion corrections: -0.17 eV per atom
- ΔE to the lowest computed polymorph: 0 meV/atom
- Magnetization: 2.047 Bohr magnetons per cell

abc: 5.2530 5.2530 5.3427
angles: 90.00 90.00 90.00
Last column: nearest neighbours and their distance in Å.
Space group P4/mmm (No. 123)
Unique sites:
Zr  0.0000  0.0000  0.0000 [1 per cell]  4 Se 2.63, 2 Br 2.67
As  0.5000  0.5000  0.5000 [1 per cell]  4 Br 3.71, 8 Se 3.75
Se  0.0000  0.5000  0.0000 [2 per cell]  2 Zr 2.63
Br  0.0000  0.0000  0.5000 [1 per cell]  2 Zr 2.67

Number 1: theoretical density 6.345 Mg/m³. Number 2: theoretical density 7.039 Mg/m³. Number 3: theoretical density 6.781 Mg/m³. Number 4: theoretical density 4.550 Mg/m³.